## A
VASP calculation (PBE) on a relaxed structure of YTc3F.

abc: 4.3540 4.3540 4.3540
angles: 90.00 90.00 90.00
Closest atoms and distances in Å follow each position.
Positions (direct):
Y 0.0000 0.0000 0.0000  12 Tc 3.08
Tc 0.0000 0.5000 0.5000  2 F 2.18
Tc 0.5000 0.0000 0.5000  2 F 2.18
Tc 0.5000 0.5000 0.0000  2 F 2.18
F 0.5000 0.5000 0.5000  6 Tc 2.18

Summary:
- ρ (g/cm3) = 8.09
- SG = Pm-3m, No. 221


## B
VASP calculation (PBE) on a relaxed structure of YTc3F.

abc: 5.1791 5.1791 5.1791
angles: 90.00 90.00 90.00
Closest atoms and distances in Å follow each position.
Positions (direct):
Y 0.0000 0.0000 0.0000  6 Tc 2.59
Tc 0.0000 0.0000 0.5000  2 Y 2.59
Tc 0.0000 0.5000 0.0000  2 Y 2.59
Tc 0.5000 0.0000 0.0000  2 Y 2.59
F 0.5000 0.5000 0.5000  12 Tc 3.66

Summary:
- ρ (g/cm3) = 4.80
- SG = Pm-3m, No. 221


Decreasing stability: A, B


## A
VASP calculation (PBE) on a relaxed structure of Y2TcF2.

abc: 4.9878 4.9878 4.9878
angles: 120.65 120.65 88.87
Closest atoms and distances in Å follow each position.
Positions (direct):
Y 0.2500 0.7500 0.5000  4 F 2.50
Y 0.7500 0.2500 0.5000  4 F 2.50
Tc 0.0000 0.0000 0.0000  2 F 2.16
F 0.3030 0.3030 0.0000  1 Tc 2.16
F 0.6970 0.6970 0.0000  1 Tc 2.16

Summary:
- ρ (g/cm3) = 6.00
- SG = I4/mmm, No. 139


## B
VASP calculation (PBE) on a relaxed structure of Y2TcF2.

abc: 7.4506 7.4506 2.9739
angles: 90.00 90.00 90.00
Closest atoms and distances in Å follow each position.
Positions (direct):
Y 0.1997 0.3003 0.0000  2 F 2.48
Y 0.3003 0.8003 0.0000  2 F 2.48
Y 0.6997 0.1997 0.0000  2 F 2.48
Y 0.8003 0.6997 0.0000  2 F 2.48
Tc 0.0000 0.0000 0.5000  2 Tc 2.97, 4 F 3.01, 8 Y 3.07
Tc 0.5000 0.5000 0.5000  2 Tc 2.97, 4 F 3.01, 8 Y 3.07
F 0.1117 0.6117 0.5000  1 F 2.35, 2 Y 2.48
F 0.3883 0.1117 0.5000  1 F 2.35, 2 Y 2.48
F 0.6117 0.8883 0.5000  1 F 2.35, 2 Y 2.48
F 0.8883 0.3883 0.5000  1 F 2.35, 2 Y 2.48

Summary:
- ρ (g/cm3) = 6.31
- SG = P4/mbm, No. 127


Decreasing stability: A, B


## A
VASP calculation (PBE) on a relaxed structure of Y2TcF.

abc: 4.8022 4.8022 4.8022
angles: 60.00 60.00 60.00
Closest atoms and distances in Å follow each position.
Positions (direct):
Y 0.2500 0.2500 0.2500  4 F 2.94, 4 Tc 2.94
Y 0.7500 0.7500 0.7500  4 F 2.94, 4 Tc 2.94
Tc 0.0000 0.0000 0.0000  8 Y 2.94
F 0.5000 0.5000 0.5000  8 Y 2.94

Summary:
- ρ (g/cm3) = 6.25
- SG = Fm-3m, No. 225


## B
VASP calculation (PBE) on a relaxed structure of Y2TcF.

abc: 6.0479 6.0479 6.0479
angles: 112.10 112.10 104.33
Closest atoms and distances in Å follow each position.
Positions (direct):
Y 0.0711 0.6250 0.9461  2 F 2.34
Y 0.3750 0.3211 0.4461  2 F 2.34
Y 0.6789 0.1250 0.0539  2 F 2.34
Y 0.8750 0.9289 0.5539  2 F 2.34
Tc 0.2500 0.7500 0.5000  4 Y 2.82
Tc 0.5000 0.5000 0.0000  4 Y 2.82
F 0.0000 0.0000 0.0000  4 Y 2.34
F 0.7500 0.2500 0.5000  4 Y 2.34

Summary:
- ρ (g/cm3) = 5.78
- SG = I-42d, No. 122


Decreasing stability: B, A


## A
VASP calculation (PBE) on a relaxed structure of ZnTcF6.

abc: 5.5592 5.5592 5.5592
angles: 56.08 56.08 56.08
Closest atoms and distances in Å follow each position.
Positions (direct):
Zn 0.0000 0.0000 0.0000  6 F 2.05
Tc 0.5000 0.5000 0.5000  6 F 1.97
F 0.1345 0.3774 0.7433  1 Tc 1.97, 1 Zn 2.05
F 0.2567 0.8655 0.6226  1 Tc 1.97, 1 Zn 2.05
F 0.3774 0.7433 0.1345  1 Tc 1.97, 1 Zn 2.05
F 0.6226 0.2567 0.8655  1 Tc 1.97, 1 Zn 2.05
F 0.7433 0.1345 0.3774  1 Tc 1.97, 1 Zn 2.05
F 0.8655 0.6226 0.2567  1 Tc 1.97, 1 Zn 2.05

Summary:
- ρ (g/cm3) = 4.17
- SG = R-3, No. 148


## B
VASP calculation (PBE) on a relaxed structure of ZnTcF6.

abc: 5.1017 5.1017 9.5006
angles: 90.00 90.00 120.00
Closest atoms and distances in Å follow each position.
Positions (direct):
Zn 0.3333 0.6667 0.2500  6 F 2.06
Zn 0.6667 0.3333 0.7500  6 F 2.06
Tc 0.0000 0.0000 0.0000  6 F 1.97
Tc 0.0000 0.0000 0.5000  6 F 1.97
F 0.0269 0.3264 0.1209  1 Tc 1.97, 1 Zn 2.06
F 0.0269 0.7006 0.3791  1 Tc 1.97, 1 Zn 2.06
F 0.2994 0.3264 0.3791  1 Tc 1.97, 1 Zn 2.06
F 0.2994 0.9731 0.1209  1 Tc 1.97, 1 Zn 2.06
F 0.3264 0.0269 0.6209  1 Tc 1.97, 1 Zn 2.06
F 0.3264 0.2994 0.8791  1 Tc 1.97, 1 Zn 2.06
F 0.6736 0.7006 0.1209  1 Tc 1.97, 1 Zn 2.06
F 0.6736 0.9731 0.3791  1 Tc 1.97, 1 Zn 2.06
F 0.7006 0.0269 0.8791  1 Tc 1.97, 1 Zn 2.06
F 0.7006 0.6736 0.6209  1 Tc 1.97, 1 Zn 2.06
F 0.9731 0.2994 0.6209  1 Tc 1.97, 1 Zn 2.06
F 0.9731 0.6736 0.8791  1 Tc 1.97, 1 Zn 2.06

Summary:
- ρ (g/cm3) = 4.30
- SG = P-31c, No. 163


Decreasing stability: A, B


## A
VASP calculation (PBE) on a relaxed structure of ZnTc2F.

abc: 5.5056 5.5056 5.5056
angles: 99.88 99.88 131.06
Closest atoms and distances in Å follow each position.
Positions (direct):
Zn 0.0000 0.0000 0.0000  2 F 2.28
Zn 0.7500 0.2500 0.5000  2 F 2.28
Tc 0.1908 0.6250 0.0658  2 F 2.27, 2 Tc 2.46
Tc 0.3750 0.4408 0.5658  2 F 2.27, 2 Tc 2.46
Tc 0.5592 0.1250 0.9342  2 F 2.27, 2 Tc 2.46
Tc 0.8750 0.8092 0.4342  2 F 2.27, 2 Tc 2.46
F 0.2500 0.7500 0.5000  4 Tc 2.27, 2 Zn 2.28
F 0.5000 0.5000 0.0000  4 Tc 2.27, 2 Zn 2.28

Summary:
- ρ (g/cm3) = 8.13
- SG = I-42d, No. 122


## B
VASP calculation (PBE) on a relaxed structure of ZnTc2F.

abc: 4.2357 4.2357 4.2357
angles: 60.00 60.00 60.00
Closest atoms and distances in Å follow each position.
Positions (direct):
Zn 0.0000 0.0000 0.0000  8 Tc 2.59
Tc 0.2500 0.2500 0.2500  4 F 2.59, 4 Zn 2.59
Tc 0.7500 0.7500 0.7500  4 F 2.59, 4 Zn 2.59
F 0.5000 0.5000 0.5000  8 Tc 2.59

Summary:
- ρ (g/cm3) = 8.66
- SG = Fm-3m, No. 225


Decreasing stability: A, B


## A
VASP calculation (PBE) on a relaxed structure of Zr2Tc2F.

abc: 6.2619 6.2619 4.5337
angles: 90.00 90.00 90.00
Closest atoms and distances in Å follow each position.
Positions (direct):
Zr 0.1756 0.3244 0.0000  2 F 2.31
Zr 0.3244 0.8244 0.0000  2 F 2.31
Zr 0.6756 0.1756 0.0000  2 F 2.31
Zr 0.8244 0.6756 0.0000  2 F 2.31
Tc 0.1295 0.6295 0.5000  1 Tc 2.29
Tc 0.3705 0.1295 0.5000  1 Tc 2.29
Tc 0.6295 0.8705 0.5000  1 Tc 2.29
Tc 0.8705 0.3705 0.5000  1 Tc 2.29
F 0.0000 0.0000 0.0000  4 Zr 2.31
F 0.5000 0.5000 0.0000  4 Zr 2.31

Summary:
- ρ (g/cm3) = 7.42
- SG = P4/mbm, No. 127


## B
VASP calculation (PBE) on a relaxed structure of Zr2Tc2F.

abc: 7.9987 7.9987 7.9987
angles: 154.43 154.43 36.47
Closest atoms and distances in Å follow each position.
Positions (direct):
Zr 0.1066 0.1066 0.0000  4 Tc 2.81, 4 F 2.98
Zr 0.8934 0.8934 0.0000  4 Tc 2.81, 4 F 2.98
Tc 0.2500 0.7500 0.5000  4 Tc 2.50
Tc 0.7500 0.2500 0.5000  4 Tc 2.50
F 0.5000 0.5000 0.0000  8 Zr 2.98

Summary:
- ρ (g/cm3) = 6.93
- SG = I4/mmm, No. 139


Decreasing stability: A, B